Compound: CaTl2Pt
Source: the Alexandria database
Functional: PBE
Structure: relaxed

Lattice parameters (Å, degrees): 3.8971 4.1140 7.0687 72.62 90.00 90.00
Atoms (fractional coordinates):
Tl (0.5000, 0.1845, 0.2563)
Tl (0.0000, 0.8173, 0.9942)
Pt (0.5000, 0.9720, 0.6781)
Ca (0.0000, 0.5263, 0.5715)

## Properties
Symmetry: Pm
ΔE_f: -1.557 eV per formula unit
E: -0.132 Ha/atom
Fermi-level density of states: 0.420 states/eV/atom